1.
RbMg4Cl8 | GGA-PBE | relaxed

Cell lengths 9.716, 9.716, 9.716 Å; angles 45.48, 45.48, 45.48 degrees
Atoms (fractional coordinates):
Rb  0.000  0.000  0.000
Mg  0.000  0.000  0.500
Mg  0.000  0.500  0.000
Mg  0.500  0.000  0.000
Mg  0.500  0.500  0.500
Cl  0.218  0.721  0.721
Cl  0.219  0.219  0.219
Cl  0.279  0.279  0.782
Cl  0.279  0.782  0.279
Cl  0.721  0.218  0.721
Cl  0.721  0.721  0.218
Cl  0.781  0.781  0.781
Cl  0.782  0.279  0.279

The value obtained for the total magnetization is 0.0 Bohr magnetons per cell. For the uncorrected formation energy, the calculation gives -21.83 eV/f.u.


2.
RbMgCl2 | GGA-PBE | relaxed

Cell lengths 8.357, 8.357, 8.357 Å; angles 132.15, 132.15, 70.00 degrees
Atoms (fractional coordinates):
Rb  0.000  0.000  0.000
Rb  0.750  0.250  0.500
Mg  0.250  0.750  0.500
Mg  0.500  0.500  0.000
Cl  0.218  0.625  0.093
Cl  0.375  0.468  0.593
Cl  0.532  0.125  0.907
Cl  0.875  0.782  0.407

As for the relative energy among the computed polymorphs: 9 meV per atom. The value obtained for the total magnetization is 0.0 Bohr magnetons per cell. For the uncorrected formation energy, the calculation gives -5.19 eV/f.u.


3.
Rb12Mg3Cl5 | GGA-PBE | relaxed

Cell lengths 18.263, 18.263, 18.263 Å; angles 109.47, 109.47, 109.47 degrees
Atoms (fractional coordinates):
Rb  0.027  0.204  0.120
Rb  0.027  0.323  0.907
Rb  0.084  0.704  0.677
Rb  0.084  0.880  0.407
Rb  0.093  0.620  0.416
Rb  0.093  0.973  0.677
Rb  0.120  0.027  0.204
Rb  0.120  0.593  0.916
Rb  0.177  0.204  0.584
Rb  0.177  0.473  0.593
Rb  0.204  0.120  0.027
Rb  0.204  0.584  0.177
Rb  0.296  0.323  0.916
Rb  0.296  0.473  0.380
Rb  0.323  0.907  0.027
Rb  0.323  0.916  0.296
Rb  0.380  0.296  0.473
Rb  0.380  0.584  0.907
Rb  0.407  0.084  0.880
Rb  0.407  0.823  0.527
Rb  0.416  0.093  0.620
Rb  0.416  0.823  0.796
Rb  0.473  0.380  0.296
Rb  0.473  0.593  0.177
Rb  0.527  0.407  0.823
Rb  0.527  0.620  0.704
Rb  0.584  0.177  0.204
Rb  0.584  0.907  0.380
Rb  0.593  0.177  0.473
Rb  0.593  0.916  0.120
Rb  0.620  0.416  0.093
Rb  0.620  0.704  0.527
Rb  0.677  0.084  0.704
Rb  0.677  0.093  0.973
Rb  0.704  0.527  0.620
Rb  0.704  0.677  0.084
Rb  0.796  0.416  0.823
Rb  0.796  0.880  0.973
Rb  0.823  0.527  0.407
Rb  0.823  0.796  0.416
Rb  0.880  0.407  0.084
Rb  0.880  0.973  0.796
Rb  0.907  0.027  0.323
Rb  0.907  0.380  0.584
Rb  0.916  0.120  0.593
Rb  0.916  0.296  0.323
Rb  0.973  0.677  0.093
Rb  0.973  0.796  0.880
Mg  0.125  0.250  0.375
Mg  0.125  0.375  0.750
Mg  0.250  0.375  0.125
Mg  0.250  0.875  0.625
Mg  0.375  0.125  0.250
Mg  0.375  0.750  0.125
Mg  0.625  0.250  0.875
Mg  0.625  0.875  0.750
Mg  0.750  0.125  0.375
Mg  0.750  0.625  0.875
Mg  0.875  0.625  0.250
Mg  0.875  0.750  0.625
Cl  0.000  0.000  0.000
Cl  0.000  0.000  0.500
Cl  0.000  0.500  0.000
Cl  0.000  0.500  0.500
Cl  0.125  0.750  0.875
Cl  0.125  0.875  0.250
Cl  0.250  0.125  0.875
Cl  0.250  0.625  0.375
Cl  0.375  0.250  0.625
Cl  0.375  0.625  0.750
Cl  0.500  0.000  0.000
Cl  0.500  0.000  0.500
Cl  0.500  0.500  0.000
Cl  0.500  0.500  0.500
Cl  0.625  0.375  0.250
Cl  0.625  0.750  0.375
Cl  0.750  0.375  0.625
Cl  0.750  0.875  0.125
Cl  0.875  0.125  0.750
Cl  0.875  0.250  0.125

The value obtained for the total magnetization is 6.3 Bohr magnetons per cell. For the uncorrected formation energy, the calculation gives -15.39 eV/f.u.